(1)
This record from the Alexandria database describes LiZn after structural relaxation. The functional is PBE.

## Properties
- DOS at the Fermi energy (states/eV/cell) = 1.91
- energy of formation from the pure elements (eV per atom) = 0.31
- VASP energy (eV per atom) = -1.282
- space-group type = No. 194
- magnetization (μB/cell) = 0.0

```
LiZn
1.0
4.4970 0.0000 0.0000
-2.2485 3.8946 0.0000
0.0000 0.0000 5.1964
Zn Li
2 2
direct
0.6667 0.3333 0.2500
0.3333 0.6667 0.7500
0.3333 0.6667 0.2500
0.6667 0.3333 0.7500
```

(2)
This record from the Alexandria database describes Li4Zn3 after structural relaxation. The functional is PBE.

## Properties
- DOS at the Fermi energy (states/eV/cell) = 6.55
- energy of formation from the pure elements (eV per atom) = -0.12
- VASP energy (eV per atom) = -1.758
- space-group type = No. 176
- magnetization (μB/cell) = 0.0
- ΔE to the lowest computed polymorph (eV per formula unit) = 0.31

```
Li4Zn3
1.0
4.5030 0.0000 0.0000
0.0000 6.4749 -3.7383
0.0000 0.0000 7.4766
Li Zn
8 6
direct
0.2500 0.9182 0.3704
0.7500 0.5478 0.9182
0.7500 0.3704 0.4522
0.7500 0.6667 0.3333
0.2500 0.4522 0.0818
0.7500 0.0818 0.6296
0.2500 0.3333 0.6667
0.2500 0.6296 0.5478
0.2500 0.0368 0.8047
0.7500 0.9632 0.1953
0.7500 0.8047 0.7679
0.2500 0.1953 0.2321
0.7500 0.2321 0.0368
0.2500 0.7679 0.9632
```

(3)
This record from the Alexandria database describes LiZn after structural relaxation. The functional is PBE.

## Properties
- DOS at the Fermi energy (states/eV/cell) = 1.44
- energy of formation from the pure elements (eV per atom) = -0.05
- VASP energy (eV per atom) = -1.639
- space-group type = No. 166
- magnetization (μB/cell) = 0.0

```
LiZn
1.0
-5.0164 2.8138 -7.8818
-5.6045 0.1365 -7.9860
-7.1149 1.8129 -6.4262
Zn Li
2 2
direct
0.4963 0.4963 0.4963
0.2537 0.2537 0.2537
0.9983 0.9983 0.9983
0.7517 0.7517 0.7517
```